Compound: DyGaPt4
Source: Alexandria
Functional: PBE
Structure: relaxed

The structure in POSCAR format:
```
DyGaPt4
1.0
5.365 0.000 0.000
2.683 4.646 0.000
2.683 1.549 4.381
Ga Pt Dy
1 4 1
Cartesian
0.000 0.000 0.000
5.365 3.098 0.541
5.365 1.542 2.740
6.712 3.875 2.740
4.018 3.875 2.740
2.683 1.549 1.095
```

Output
Calculated volume ... 18.20 Å³/atom
E above lowest polymorph ... 7.6 kJ per mole of atoms
Density of states at the Fermi level ... 2.439 states/eV/cell
Total DFT energy (no corrections) ... -0.223 Ha/atom
Space-group type ... F-43m
DFT formation energy ... -0.771 eV per atom


Compound: Nd2NiAg
Source: Alexandria
Functional: PBE
Structure: relaxed

The structure in POSCAR format:
```
Nd2NiAg
1.0
4.110 0.000 0.000
2.055 3.560 0.000
2.055 1.187 7.334
Nd Ni Ag
2 1 1
Cartesian
2.055 1.187 5.796
2.055 1.187 1.532
4.110 2.373 0.036
4.110 2.373 3.637
```

Output
Calculated volume ... 26.82 Å³/atom
Density of states at the Fermi level ... 2.608 states/eV/cell
Total DFT energy (no corrections) ... -0.173 Ha/atom
Space-group type ... R3m
DFT formation energy ... -0.165 eV per atom


Compound: PmTl2F8
Source: Alexandria
Functional: PBE
Structure: relaxed

The structure in POSCAR format:
```
PmTl2F8
1.0
4.420 -0.576 -0.437
-0.648 6.486 0.045
-0.648 1.790 6.234
Pm Tl F
1 2 8
Cartesian
0.000 0.000 0.000
0.650 5.248 3.982
2.474 2.453 1.861
0.101 3.901 5.748
3.023 1.114 3.633
0.390 7.032 5.335
2.734 0.669 0.507
0.101 6.586 2.210
3.023 3.799 0.095
2.707 4.394 3.334
0.417 3.306 2.509
```

Output
Calculated volume ... 15.88 Å³/atom
E above lowest polymorph ... 0.0 kJ per mole of atoms
Formation energy from raw total energies ... -2550 meV per atom
Density of states at the Fermi level ... 1.148 states/eV/cell
Total DFT energy (no corrections) ... -0.175 Ha/atom
Space-group type ... C2/m


Compound: CdCuTc2
Source: Alexandria
Functional: PBE
Structure: relaxed

The structure in POSCAR format:
```
CdCuTc2
1.0
2.721 -0.007 0.000
-1.126 2.477 0.000
0.000 0.000 9.280
Cd Cu Tc
1 1 2
Cartesian
0.000 0.000 4.710
0.797 1.235 7.080
0.000 0.000 0.002
0.797 1.235 2.127
```

Output
Calculated volume ... 15.62 Å³/atom
Density of states at the Fermi level ... 2.858 states/eV/cell
Total DFT energy (no corrections) ... -0.225 Ha/atom
Space-group type ... Cmm2
DFT formation energy ... 0.311 eV per atom


Compound: Zr5NbSb4
Source: Alexandria
Functional: PBE
Structure: relaxed

The structure in POSCAR format:
```
Zr5NbSb4
1.0
-4.851 -0.611 -1.430
1.386 -4.748 -2.673
0.597 -2.568 8.146
Zr Nb Sb
5 1 4
Cartesian
-2.481 -4.801 1.392
-3.540 -3.334 4.358
0.671 -4.592 -0.315
-1.733 -2.679 -2.051
-0.388 -3.126 2.652
-2.426 -0.305 -0.715
0.096 -6.148 2.302
-3.035 -6.231 3.882
-2.965 -1.779 1.742
0.166 -1.695 0.161
```

Output
Calculated volume ... 22.98 Å³/atom
Formation energy from raw total energies ... -319 meV per atom
Density of states at the Fermi level ... 9.296 states/eV/cell
Total DFT energy (no corrections) ... -0.266 Ha/atom
Space-group type ... C2/m


Compound: YCrNi2
Source: Alexandria
Functional: PBE
Structure: relaxed

The structure in POSCAR format:
```
YCrNi2
1.0
-1.096 3.947 -0.144
-2.383 1.574 2.940
2.610 2.976 3.378
Cr Ni Y
1 2 1
Cartesian
-0.217 2.124 1.543
-2.925 5.688 3.155
-0.988 4.082 2.727
-0.652 6.373 4.630
```

Output
Calculated volume ... 16.86 Å³/atom
E above lowest polymorph ... 0.0 kJ per mole of atoms
Density of states at the Fermi level ... 4.404 states/eV/cell
Total DFT energy (no corrections) ... -0.258 Ha/atom
Space-group type ... R-3m
DFT formation energy ... -0.121 eV per atom


Compound: La4SmTl2
Source: Alexandria
Functional: PBE
Structure: relaxed

The structure in POSCAR format:
```
La4SmTl2
1.0
-4.683 3.133 0.687
-2.021 0.978 5.214
2.983 9.043 2.551
La Sm Tl
4 1 2
Cartesian
-2.449 10.368 6.377
-4.687 7.078 6.127
-1.272 2.786 2.075
0.966 6.076 2.325
-1.861 6.577 4.226
-3.598 4.023 4.031
-0.123 9.131 4.420
```

Output
Calculated volume ... 37.06 Å³/atom
E above lowest polymorph ... 15.9 kJ per mole of atoms
Density of states at the Fermi level ... 14.103 states/eV/cell
Total DFT energy (no corrections) ... -0.154 Ha/atom
Space-group type ... R-3m
DFT formation energy ... -0.013 eV per atom


Compound: SrEuN
Source: Alexandria
Functional: PBE
Structure: relaxed

The structure in POSCAR format:
```
SrEuN
1.0
3.283 0.000 0.000
0.000 3.283 0.000
-1.642 -1.642 6.722
Eu Sr N
1 1 1
Cartesian
0.000 0.000 3.612
0.000 0.000 0.780
1.642 1.642 2.329
```

Output
Calculated volume ... 24.15 Å³/atom
E above lowest polymorph ... 37.2 kJ per mole of atoms
Formation energy from raw total energies ... -256 meV per atom
Density of states at the Fermi level ... 2.479 states/eV/cell
Total DFT energy (no corrections) ... -0.258 Ha/atom
Space-group type ... I4mm


Compound: Pm4CuRh
Source: Alexandria
Functional: PBE
Structure: relaxed

The structure in POSCAR format:
```
Pm4CuRh
1.0
8.404 0.000 4.852
2.801 7.924 4.852
0.000 0.000 9.704
Pm Cu Rh
16 4 4
Cartesian
4.407 3.116 7.633
7.995 3.116 9.704
5.603 6.499 9.704
4.407 3.116 11.776
6.275 4.437 14.557
10.533 7.448 14.557
7.340 7.448 12.713
9.469 4.437 16.400
9.469 4.437 12.713
7.340 7.448 16.400
2.090 1.478 9.704
9.115 6.446 9.704
3.847 6.446 6.662
7.359 1.478 12.746
7.359 1.478 6.662
3.847 6.446 12.746
1.782 1.260 3.087
4.840 1.260 4.852
2.801 4.143 4.852
1.782 1.260 6.617
6.792 4.803 11.764
3.225 4.803 9.704
5.603 1.439 9.704
6.792 4.803 7.645
```

Output
Calculated volume ... 26.93 Å³/atom
E above lowest polymorph ... 0.0 kJ per mole of atoms
Density of states at the Fermi level ... 22.804 states/eV/cell
Total DFT energy (no corrections) ... -0.198 Ha/atom
Space-group type ... F-43m
DFT formation energy ... -0.308 eV per atom


Compound: Al3NiOs2
Source: Alexandria
Functional: PBE
Structure: relaxed

The structure in POSCAR format:
```
Al3NiOs2
1.0
-2.033 -2.033 1.072
1.986 -3.049 -2.014
2.618 0.560 6.027
Al Ni Os
3 1 2
Cartesian
-0.024 -2.541 -0.471
2.372 -3.181 2.860
0.198 -1.341 2.225
0.000 0.000 0.000
2.449 -0.654 3.405
2.155 -1.835 0.608
```

Output
Calculated volume ... 13.31 Å³/atom
Density of states at the Fermi level ... 2.875 states/eV/cell
Total DFT energy (no corrections) ... -0.261 Ha/atom
Space-group type ... Cmmm
DFT formation energy ... -0.523 eV per atom


Compound: DyGe2F8
Source: Alexandria
Functional: PBE
Structure: relaxed

The structure in POSCAR format:
```
DyGe2F8
1.0
-5.184 -1.276 2.613
1.951 1.007 5.368
-0.254 4.993 2.940
Dy Ge F
1 2 8
Cartesian
0.000 0.000 0.000
-2.001 3.750 7.972
-1.486 0.974 2.949
-0.515 4.696 5.240
-4.152 2.161 4.381
-0.200 4.971 8.340
-3.288 -0.246 2.581
0.665 2.564 6.539
-2.973 0.029 5.680
-3.257 2.597 7.219
-0.231 2.128 3.702
```

Output
Calculated volume ... 14.44 Å³/atom
Formation energy from raw total energies ... -2656 meV per atom
Density of states at the Fermi level ... 1.068 states/eV/cell
Total DFT energy (no corrections) ... -0.194 Ha/atom
Space-group type ... C2/m


Compound: PaTaOs
Source: Alexandria
Functional: PBE
Structure: relaxed

The structure in POSCAR format:
```
PaTaOs
1.0
2.967 0.000 0.000
0.000 4.705 0.000
0.000 -2.352 4.074
Pa Os Ta
1 1 1
Cartesian
1.914 0.000 2.716
1.003 2.352 1.358
0.050 0.000 0.000
```

Output
Calculated volume ... 18.95 Å³/atom
E above lowest polymorph ... 31.1 kJ per mole of atoms
Density of states at the Fermi level ... 3.693 states/eV/cell
Total DFT energy (no corrections) ... -0.395 Ha/atom
Space-group type ... P3m1
DFT formation energy ... 0.111 eV per atom